First-principles (PBE) data for a relaxed ScTl2Te2 crystal, as listed in Alexandria.

abc: 7.788 7.788 5.408
angles: 90.00 90.00 90.00
Positions (direct):
Tl (0.652, 0.848, 0.500)
Tl (0.848, 0.348, 0.500)
Tl (0.348, 0.152, 0.500)
Tl (0.152, 0.652, 0.500)
Sc (0.500, 0.500, 0.000)
Sc (0.000, 0.000, 0.000)
Te (0.828, 0.672, 0.000)
Te (0.172, 0.328, 0.000)
Te (0.328, 0.828, 0.000)
Te (0.672, 0.172, 0.000)

Calculated values
Raw formation energy = -0.4313 eV/atom
Relative energy among the computed polymorphs = 1.096 eV per formula unit
Total moment = 0.0 μB per formula unit
Volume = 32.81 Å³/atom
N(E_F) = 3.862 states/eV/f.u.
E_tot = -3.90 eV per atom

First-principles (PBE) data for a relaxed LiThH6Ir2 crystal, as listed in Alexandria.

abc: 6.058 6.058 5.591
angles: 99.70 99.70 100.95
Positions (direct):
H (0.902, 0.446, 0.138)
H (0.195, 0.198, 0.068)
H (0.314, 0.524, 0.394)
H (0.524, 0.314, 0.894)
H (0.805, 0.802, 0.932)
H (0.802, 0.805, 0.432)
H (0.476, 0.686, 0.106)
H (0.446, 0.902, 0.638)
H (0.098, 0.554, 0.862)
H (0.554, 0.098, 0.362)
H (0.686, 0.476, 0.606)
H (0.198, 0.195, 0.568)
Li (0.586, 0.414, 0.250)
Li (0.414, 0.586, 0.750)
Ir (0.936, 0.676, 0.676)
Ir (0.676, 0.936, 0.176)
Ir (0.324, 0.064, 0.824)
Ir (0.064, 0.324, 0.324)
Th (0.166, 0.834, 0.250)
Th (0.834, 0.166, 0.750)

Calculated values
Total moment = 0.0 μB per formula unit
Volume = 9.71 Å³/atom
N(E_F) = 3.410 states/eV/f.u.
E_tot = -5.13 eV per atom

First-principles (PBE) data for a relaxed Pr4Nd2TmTh crystal, as listed in Alexandria.

abc: 6.140 6.126 9.559
angles: 50.27 90.00 90.00
Positions (direct):
Pr (0.500, 0.754, 0.246)
Pr (0.000, 0.255, 0.245)
Pr (0.500, 0.246, 0.754)
Pr (0.000, 0.745, 0.755)
Nd (0.500, 0.000, 0.500)
Nd (0.000, 0.000, 0.000)
Tm (0.000, 0.500, 0.500)
Th (0.500, 0.500, 0.000)

Calculated values
Total moment = 0.0 μB per formula unit
Volume = 34.56 Å³/atom
ΔE_f = 13 kJ per mole of atoms
N(E_F) = 15.880 states/eV/f.u.
E_tot = -4.93 eV per atom

First-principles (PBE) data for a relaxed InHgSb2Ru crystal, as listed in Alexandria.

abc: 5.571 5.094 5.571
angles: 90.00 90.00 90.00
Site moments in Bohr magnetons follow the coordinates.
Positions (direct):
Sb (0.500, 0.000, 0.000)  -0.05
Sb (0.000, 0.000, 0.500)  -0.02
Hg (0.500, 0.500, 0.500)  0.03
In (0.000, 0.000, 0.000)  -0.03
Ru (0.000, 0.500, 0.000)  1.57

Calculated values
Raw formation energy = 1.1840 eV/atom
Total moment = 1.6 μB per formula unit
Volume = 31.62 Å³/atom
N(E_F) = 4.291 states/eV/f.u.
E_tot = -2.93 eV per atom

First-principles (PBE) data for a relaxed RbHoTl crystal, as listed in Alexandria.

abc: 4.103 4.103 15.272
angles: 97.72 97.72 90.00
Site moments in Bohr magnetons follow the coordinates.
Positions (direct):
Rb (0.420, 0.420, 0.840)  0.00
Rb (0.580, 0.580, 0.160)  0.00
Ho (0.714, 0.714, 0.427)  0.24
Ho (0.286, 0.286, 0.573)  0.24
Tl (0.169, 0.169, 0.338)  -0.01
Tl (0.831, 0.831, 0.662)  -0.01

Calculated values
Total moment = 0.4 μB per formula unit
Volume = 42.08 Å³/atom
ΔE_f = -8 kJ per mole of atoms
N(E_F) = 2.378 states/eV/f.u.
E_tot = -2.72 eV per atom

First-principles (PBE) data for a relaxed CsScCdTe3 crystal, as listed in Alexandria.

abc: 4.430 9.934 11.154
angles: 112.34 90.00 90.00
Positions (direct):
Te (0.750, 0.476, 0.147)
Te (0.250, 0.765, 0.440)
Te (0.750, 0.870, 0.125)
Te (0.250, 0.130, 0.875)
Te (0.250, 0.524, 0.853)
Te (0.750, 0.235, 0.560)
Cd (0.750, 0.920, 0.389)
Cd (0.250, 0.080, 0.611)
Cs (0.250, 0.222, 0.251)
Cs (0.750, 0.778, 0.749)
Sc (0.250, 0.666, 0.130)
Sc (0.750, 0.334, 0.870)

Calculated values
Raw formation energy = -0.9809 eV/atom
Total moment = 0.0 μB per formula unit
Volume = 37.83 Å³/atom
E_tot = -3.90 eV per atom

First-principles (PBE) data for a relaxed La3TlHg2 crystal, as listed in Alexandria.

abc: 3.899 3.899 12.035
angles: 90.00 90.00 90.00
Site moments in Bohr magnetons follow the coordinates.
Positions (direct):
La (0.000, 0.000, 0.673)  0.14
La (0.000, 0.000, 0.327)  0.14
La (0.000, 0.000, 0.000)  0.17
Hg (0.500, 0.500, 0.162)  0.02
Hg (0.500, 0.500, 0.838)  0.02
Tl (0.500, 0.500, 0.500)  0.01

Calculated values
Total moment = 1.1 μB per formula unit
Volume = 30.49 Å³/atom
ΔE_f = -46 kJ per mole of atoms
N(E_F) = 7.562 states/eV/f.u.
E_tot = -3.43 eV per atom

First-principles (PBE) data for a relaxed TiRe3Tc crystal, as listed in Alexandria.

abc: 4.459 4.459 4.459
angles: 90.00 90.00 90.00
Positions (direct):
Ti (0.000, 0.000, 0.000)
Re (0.000, 0.000, 0.500)
Re (0.000, 0.500, 0.000)
Re (0.500, 0.000, 0.000)
Tc (0.500, 0.500, 0.500)

Calculated values
Relative energy among the computed polymorphs = 0.780 eV per formula unit
Total moment = 0.0 μB per formula unit
Volume = 17.73 Å³/atom
ΔE_f = 188 kJ per mole of atoms
N(E_F) = 8.637 states/eV/f.u.
E_tot = -9.18 eV per atom

First-principles (PBE) data for a relaxed KScW2 crystal, as listed in Alexandria.

abc: 4.626 4.626 8.216
angles: 88.59 88.59 35.38
Positions (direct):
W (0.997, 0.997, 0.978)
W (0.742, 0.742, 0.841)
K (0.499, 0.499, 0.526)
Sc (0.262, 0.262, 0.155)

Calculated values
Relative energy among the computed polymorphs = 1.107 eV per formula unit
Total moment = 0.0 μB per formula unit
Volume = 25.44 Å³/atom
ΔE_f = 87 kJ per mole of atoms
N(E_F) = 3.256 states/eV/f.u.
E_tot = -7.43 eV per atom

First-principles (PBE) data for a relaxed CoAuC2 crystal, as listed in Alexandria.

abc: 4.676 4.676 5.541
angles: 65.04 65.04 90.00
Positions (direct):
Co (0.250, 0.750, 0.500)
Co (0.500, 0.500, 0.000)
C (0.564, 0.125, 0.250)
C (0.186, 0.625, 0.250)
C (0.375, 0.436, 0.750)
C (0.875, 0.814, 0.750)
Au (0.000, 0.000, 0.000)
Au (0.750, 0.250, 0.500)

Calculated values
Relative energy among the computed polymorphs = 0.000 eV per formula unit
Total moment = 0.0 μB per formula unit
Volume = 12.15 Å³/atom
ΔE_f = 117 kJ per mole of atoms
N(E_F) = 2.645 states/eV/f.u.
E_tot = -6.00 eV per atom

First-principles (PBE) data for a relaxed Pr2Y3Tm6Pu crystal, as listed in Alexandria.

abc: 6.144 6.144 11.665
angles: 95.05 95.05 120.02
Site moments in Bohr magnetons follow the coordinates.
Positions (direct):
Tm (0.917, 0.588, 0.750)  0.03
Tm (0.412, 0.083, 0.250)  0.03
Tm (0.083, 0.412, 0.250)  0.03
Tm (0.754, 0.754, 0.250)  0.03
Tm (0.588, 0.917, 0.750)  0.03
Tm (0.246, 0.246, 0.750)  0.03
Pr (0.667, 0.333, 0.000)  0.02
Pr (0.333, 0.667, 0.000)  0.02
Y (0.833, 0.167, 0.500)  -0.03
Y (0.167, 0.833, 0.500)  -0.03
Y (0.500, 0.500, 0.500)  -0.03
Pu (0.000, 0.000, 0.000)  5.56

Calculated values
Total moment = 6.1 μB per formula unit
Volume = 31.27 Å³/atom
ΔE_f = 5 kJ per mole of atoms
N(E_F) = 25.774 states/eV/f.u.
E_tot = -5.79 eV per atom